Sm15Er4Mg: relaxed, PBE.

The density of states at the Fermi level comes out at 1.3714 states/eV/atom. The energy of formation comes out at 0.26 eV per formula unit. Its final energy is -4.52 eV/atom. Its magnetic moment is 0.000 μB per atom.

a = 5.0652 Å, b = 5.0652 Å, c = 25.3928 Å
α = 90.00°, β = 90.00°, γ = 90.00°
Last column: nearest neighbours and their distance in Å.
Fractional coordinates of all 20 atoms:
Sm: 0.0000 0.5000 0.2990  8 Sm 3.58-3.62, 4 Er 3.60
Sm: 0.0000 0.5000 0.5000  8 Sm 3.58-3.60, 4 Er 3.59
Sm: 0.5000 0.0000 0.0986  2 Mg 3.56, 8 Sm 3.56-3.58, 2 Er 3.58
Sm: 0.5000 0.0000 0.9014  2 Mg 3.56, 8 Sm 3.56-3.58, 2 Er 3.58
Sm: 0.0000 0.5000 0.9014  2 Mg 3.56, 8 Sm 3.56-3.58, 2 Er 3.58
Sm: 0.0000 0.5000 0.7010  8 Sm 3.58-3.62, 4 Er 3.60
Sm: 0.5000 0.0000 0.5000  8 Sm 3.58-3.60, 4 Er 3.59
Sm: 0.5000 0.0000 0.2990  8 Sm 3.58-3.62, 4 Er 3.60
Sm: 0.0000 0.5000 0.0986  2 Mg 3.56, 8 Sm 3.56-3.58, 2 Er 3.58
Sm: 0.5000 0.5000 0.8026  8 Sm 3.57-3.62, 4 Er 3.58
Sm: 0.5000 0.5000 0.6008  4 Er 3.58, 8 Sm 3.59-3.60
Sm: 0.5000 0.5000 0.1974  8 Sm 3.57-3.62, 4 Er 3.58
Sm: 0.5000 0.5000 0.0000  8 Sm 3.56, 4 Mg 3.58
Sm: 0.5000 0.0000 0.7010  8 Sm 3.58-3.62, 4 Er 3.60
Sm: 0.5000 0.5000 0.3992  4 Er 3.58, 8 Sm 3.59-3.60
Er: 0.0000 0.0000 0.3996  12 Sm 3.58-3.60
Er: 0.0000 0.0000 0.8018  12 Sm 3.58-3.60
Er: 0.0000 0.0000 0.6004  12 Sm 3.58-3.60
Er: 0.0000 0.0000 0.1982  12 Sm 3.58-3.60
Mg: 0.0000 0.0000 0.0000  12 Sm 3.56-3.58



Sm8Er2Mg: relaxed, PBE.

The density of states at the Fermi level comes out at 1.5418 states/eV/atom. The energy above the most stable polymorph in this dataset is 0 meV per atom. The energy of formation comes out at 1.69 eV per formula unit. Its final energy is -4.25 eV/atom. Its magnetic moment is 0.000 μB per atom.

a = 5.4560 Å, b = 10.3491 Å, c = 8.3703 Å
α = 51.84°, β = 89.93°, γ = 89.88°
Last column: nearest neighbours and their distance in Å.
Fractional coordinates of all 11 atoms:
Sm: 0.4990 0.0234 0.2750  7 Sm 3.39-3.74, 2 Er 3.49-3.61, 2 Mg 3.69
Sm: 0.0001 0.6605 0.0001  7 Sm 3.39-3.74, 1 Mg 3.48, 4 Er 3.58
Sm: 0.9999 0.3333 0.9998  7 Sm 3.39-3.74, 1 Mg 3.49, 4 Er 3.58-3.59
Sm: 0.9999 0.2497 0.4944  2 Er 3.20, 1 Mg 3.33, 4 Sm 3.55
Sm: 0.5010 0.9706 0.7249  7 Sm 3.39-3.74, 2 Er 3.49-3.61, 2 Mg 3.68-3.69
Sm: 0.0001 0.7446 0.5056  2 Er 3.20, 1 Mg 3.33, 4 Sm 3.55-3.56
Sm: 0.4988 0.2985 0.7247  7 Sm 3.39-3.74, 2 Er 3.49-3.60, 2 Mg 3.69
Sm: 0.5012 0.6954 0.2754  7 Sm 3.39-3.74, 2 Er 3.49-3.60, 2 Mg 3.68-3.69
Er: 0.4999 0.3764 0.2412  1 Er 3.17, 4 Sm 3.20-3.49
Er: 0.5001 0.6175 0.7588  1 Er 3.17, 4 Sm 3.20-3.49
Mg: 0.0000 0.9964 0.0000  12 Sm 3.33-3.69



Sm6ErMg: relaxed, PBE.

The density of states at the Fermi level comes out at 1.4966 states/eV/atom. The energy above the most stable polymorph in this dataset is 99 meV per atom. The energy of formation comes out at 0.87 eV per formula unit. Its final energy is -4.20 eV/atom. Its magnetic moment is 0.000 μB per atom.

a = 8.5767 Å, b = 9.5626 Å, c = 6.4263 Å
α = 41.86°, β = 48.06°, γ = 56.00°
Last column: nearest neighbours and their distance in Å.
Fractional coordinates of all 8 atoms:
Sm: 0.2409 0.0523 0.1817  6 Sm 3.28-3.61, 1 Mg 3.34, 1 Er 3.49
Sm: 0.7591 0.9477 0.8183  6 Sm 3.28-3.61, 1 Mg 3.34, 1 Er 3.49
Sm: 0.0524 0.4756 0.2311  6 Sm 3.28-3.61, 1 Mg 3.34, 1 Er 3.48
Sm: 0.5244 0.2408 0.2877  6 Sm 3.28-3.61, 1 Mg 3.33, 1 Er 3.48
Sm: 0.4756 0.7592 0.7123  6 Sm 3.28-3.61, 1 Mg 3.33, 1 Er 3.48
Sm: 0.9476 0.5244 0.7689  6 Sm 3.28-3.61, 1 Mg 3.34, 1 Er 3.48
Mg: 0.0000 0.0000 0.0000  6 Sm 3.33-3.34
Er: 0.5000 0.5000 0.5000  12 Sm 3.48-3.74



Sm4Er7Mg: relaxed, PBE.

The density of states at the Fermi level comes out at 1.4253 states/eV/atom. The energy of formation comes out at 3.09 eV per formula unit. Its final energy is -4.11 eV/atom. Its magnetic moment is 0.000 μB per atom.

a = 5.7728 Å, b = 6.7048 Å, c = 11.5557 Å
α = 81.76°, β = 75.54°, γ = 64.50°
Last column: nearest neighbours and their distance in Å.
Fractional coordinates of all 12 atoms:
Sm: 0.6267 0.5157 0.2310  7 Er 3.34-3.74, 2 Sm 3.49
Sm: 0.1900 0.2698 0.3501  4 Er 3.28-3.42, 2 Sm 3.49
Sm: 0.3733 0.4843 0.7690  7 Er 3.34-3.74, 2 Sm 3.49
Sm: 0.8100 0.7302 0.6499  4 Er 3.28-3.42, 2 Sm 3.49
Er: 0.3664 0.7803 0.4869  5 Sm 3.28-3.57, 2 Er 3.32-3.39
Er: 0.5000 0.0000 0.0000  2 Mg 2.89
Er: 0.7972 0.4771 0.9285  1 Mg 2.96, 4 Er 3.30-3.32
Er: 0.2028 0.5229 0.0715  1 Mg 2.96, 4 Er 3.30-3.32
Er: 0.6336 0.2197 0.5131  5 Sm 3.28-3.57, 2 Er 3.32-3.39
Er: 0.9127 0.8919 0.2827  1 Mg 3.20, 2 Er 3.32
Er: 0.0873 0.1081 0.7173  1 Mg 3.20, 2 Er 3.32
Mg: 0.0000 0.0000 0.0000  6 Er 2.89-3.20



Sm6ErMg2: relaxed, PBE.

The density of states at the Fermi level comes out at 1.2564 states/eV/atom. The energy of formation comes out at 0.90 eV per formula unit. Its final energy is -3.91 eV/atom. Its magnetic moment is 0.000 μB per atom.

a = 6.3415 Å, b = 9.6683 Å, c = 9.6683 Å
α = 77.74°, β = 82.04°, γ = 82.04°
Last column: nearest neighbours and their distance in Å.
Fractional coordinates of all 18 atoms:
Sm: 0.7242 0.2179 0.0131  2 Er 3.29-3.49, 4 Sm 3.38-3.68, 2 Mg 3.39-3.59
Sm: 0.7758 0.9869 0.7821  2 Er 3.29-3.49, 4 Sm 3.38-3.68, 2 Mg 3.39-3.59
Sm: 0.2242 0.0131 0.2179  2 Er 3.29-3.49, 4 Sm 3.38-3.68, 2 Mg 3.39-3.59
Sm: 0.9767 0.3941 0.6665  3 Sm 3.17-3.43, 2 Mg 3.32-3.39, 1 Er 3.32
Sm: 0.2376 0.0545 0.5548  1 Er 3.30, 5 Sm 3.38-3.68, 3 Mg 3.43-3.52
Sm: 0.5233 0.3335 0.6059  3 Sm 3.17-3.43, 2 Mg 3.32-3.39, 1 Er 3.32
Sm: 0.2624 0.4452 0.9455  1 Er 3.30, 5 Sm 3.38-3.68, 3 Mg 3.43-3.52
Sm: 0.7624 0.9455 0.4452  1 Er 3.30, 5 Sm 3.38-3.68, 3 Mg 3.43-3.52
Sm: 0.0233 0.6059 0.3335  3 Sm 3.17-3.43, 2 Mg 3.32-3.39, 1 Er 3.32
Sm: 0.2758 0.7821 0.9869  2 Er 3.29-3.49, 4 Sm 3.38-3.68, 2 Mg 3.39-3.59
Sm: 0.4767 0.6665 0.3941  3 Sm 3.17-3.43, 2 Mg 3.32-3.39, 1 Er 3.32
Sm: 0.7376 0.5548 0.0545  1 Er 3.30, 5 Sm 3.38-3.68, 3 Mg 3.43-3.52
Mg: 0.1034 0.7143 0.6717  2 Mg 3.21, 7 Sm 3.32-3.59
Mg: 0.6034 0.6717 0.7143  2 Mg 3.21, 7 Sm 3.32-3.59
Mg: 0.3966 0.3283 0.2857  2 Mg 3.21, 7 Sm 3.32-3.59
Mg: 0.8966 0.2857 0.3283  2 Mg 3.21, 7 Sm 3.32-3.59
Er: 0.2500 0.1291 0.8709  8 Sm 3.29-3.49
Er: 0.7500 0.8709 0.1291  8 Sm 3.29-3.49



Sm4Er2Mg: relaxed, PBE.

The density of states at the Fermi level comes out at 1.8663 states/eV/atom. The energy above the most stable polymorph in this dataset is 0 meV per atom. The energy of formation comes out at 0.60 eV per formula unit. Its final energy is -4.14 eV/atom. Its magnetic moment is 0.000 μB per atom.

a = 5.6190 Å, b = 5.6190 Å, c = 8.6923 Å
α = 71.14°, β = 71.14°, γ = 60.00°
Last column: nearest neighbours and their distance in Å.
Fractional coordinates of all 7 atoms:
Sm: 0.0677 0.0677 0.7970  5 Sm 3.27-3.50, 3 Er 3.40
Sm: 0.2119 0.2119 0.3643  3 Mg 3.42, 4 Sm 3.49-3.50, 1 Er 3.55
Sm: 0.9323 0.9323 0.2030  5 Sm 3.27-3.50, 3 Er 3.40
Sm: 0.7881 0.7881 0.6357  3 Mg 3.42, 4 Sm 3.49-3.50, 1 Er 3.55
Mg: 0.5000 0.5000 0.5000  2 Er 3.42, 6 Sm 3.42
Er: 0.3585 0.3585 0.9246  4 Sm 3.40-3.55, 1 Mg 3.42, 3 Er 3.46
Er: 0.6415 0.6415 0.0754  4 Sm 3.40-3.55, 1 Mg 3.42, 3 Er 3.46



- Look up the density of states at the Fermi level of the third one.
  1.4966 states/eV/atom



- Which formula does entry 1 have?
  Sm15Er4Mg



Please write out number 4 again, unchanged.
Sm4Er7Mg: relaxed, PBE.

The density of states at the Fermi level comes out at 1.4253 states/eV/atom. The energy of formation comes out at 3.09 eV per formula unit. Its final energy is -4.11 eV/atom. Its magnetic moment is 0.000 μB per atom.

a = 5.7728 Å, b = 6.7048 Å, c = 11.5557 Å
α = 81.76°, β = 75.54°, γ = 64.50°
Last column: nearest neighbours and their distance in Å.
Fractional coordinates of all 12 atoms:
Sm: 0.6267 0.5157 0.2310  7 Er 3.34-3.74, 2 Sm 3.49
Sm: 0.1900 0.2698 0.3501  4 Er 3.28-3.42, 2 Sm 3.49
Sm: 0.3733 0.4843 0.7690  7 Er 3.34-3.74, 2 Sm 3.49
Sm: 0.8100 0.7302 0.6499  4 Er 3.28-3.42, 2 Sm 3.49
Er: 0.3664 0.7803 0.4869  5 Sm 3.28-3.57, 2 Er 3.32-3.39
Er: 0.5000 0.0000 0.0000  2 Mg 2.89
Er: 0.7972 0.4771 0.9285  1 Mg 2.96, 4 Er 3.30-3.32
Er: 0.2028 0.5229 0.0715  1 Mg 2.96, 4 Er 3.30-3.32
Er: 0.6336 0.2197 0.5131  5 Sm 3.28-3.57, 2 Er 3.32-3.39
Er: 0.9127 0.8919 0.2827  1 Mg 3.20, 2 Er 3.32
Er: 0.0873 0.1081 0.7173  1 Mg 3.20, 2 Er 3.32
Mg: 0.0000 0.0000 0.0000  6 Er 2.89-3.20